1.
Compound: Ho5TmSc4
Source: the Alexandria database
Functional: PBE-GGA
Structure: optimized geometry

Cell: 7.5519 7.5519 7.5519 Å, 99.42 99.42 132.28°
Last column: nearest neighbours and their distance in Å.
Fractional coordinates of all 10 atoms:
Ho1 0.0000 0.0000 0.0000  1 Tm 2.80
Ho2 0.0284 0.4186 0.9035  4 Sc 3.04-3.37, 1 Tm 3.23, 1 Ho 3.23
Ho3 0.1249 0.0284 0.6098  4 Sc 3.04-3.37, 1 Tm 3.23, 1 Ho 3.23
Ho4 0.4186 0.5151 0.3902  4 Sc 3.04-3.37, 1 Tm 3.23, 1 Ho 3.23
Ho5 0.5151 0.1249 0.0965  4 Sc 3.04-3.37, 1 Tm 3.23, 1 Ho 3.23
Tm1 0.5412 0.5412 0.0000  1 Ho 2.80
Sc1 0.1274 0.7161 0.3014  1 Sc 3.00, 2 Ho 3.04-3.07
Sc2 0.4147 0.8260 0.6986  1 Sc 3.00, 2 Ho 3.04-3.07
Sc3 0.7161 0.4147 0.5887  1 Sc 3.00, 2 Ho 3.04-3.07
Sc4 0.8260 0.1274 0.4113  1 Sc 3.00, 2 Ho 3.04-3.07

Results
density of states at the Fermi level = 15.0 states/eV per cell
total magnetization = 0.0 μB per cell
distance to the lowest polymorph of the same formula = 291 meV/atom

=====

2.
Compound: Mg2Ta3NbN6
Source: the Alexandria database
Functional: PBE-GGA
Structure: optimized geometry

Cell: 5.3752 5.3752 5.3944 Å, 99.54 99.54 120.27°
Last column: nearest neighbours and their distance in Å.
Fractional coordinates of all 12 atoms:
Mg1 0.1652 0.8348 0.0000  6 N 2.15-2.20
Mg2 0.8348 0.1652 0.0000  6 N 2.15-2.20
Ta1 0.0000 0.0000 0.5000  6 N 2.13-2.23
Ta2 0.3245 0.6755 0.5000  6 N 2.12-2.24
Ta3 0.6755 0.3245 0.5000  6 N 2.12-2.24
Nb1 0.5000 0.5000 0.0000  6 N 2.22-2.26
N1 0.0757 0.4169 0.7554  3 Ta 2.12-2.23, 2 Mg 2.15-2.18, 1 Nb 2.22
N2 0.2462 0.2462 0.2614  3 Ta 2.13-2.24, 2 Mg 2.20, 1 Nb 2.26
N3 0.4169 0.0757 0.7554  3 Ta 2.12-2.23, 2 Mg 2.15-2.18, 1 Nb 2.22
N4 0.5831 0.9243 0.2446  3 Ta 2.12-2.23, 2 Mg 2.15-2.18, 1 Nb 2.22
N5 0.7538 0.7538 0.7386  3 Ta 2.13-2.24, 2 Mg 2.20, 1 Nb 2.26
N6 0.9243 0.5831 0.2446  3 Ta 2.12-2.23, 2 Mg 2.15-2.18, 1 Nb 2.22

Results
density of states at the Fermi level = 1.9 states/eV per cell
raw formation energy = -1069 meV per atom
total magnetization = 0.0 μB per cell

=====

3.
Compound: PrHo12Er6
Source: the Alexandria database
Functional: PBE-GGA
Structure: optimized geometry

Cell: 9.2348 9.2348 9.2348 Å, 107.65 107.65 107.65°
Last column: nearest neighbours and their distance in Å.
Fractional coordinates of all 19 atoms:
Pr1 0.0000 0.0000 0.0000  6 Ho 3.51
Ho1 0.1109 0.5000 0.8891  4 Er 3.25-3.38, 3 Ho 3.31-3.60
Ho2 0.1109 0.8891 0.5000  4 Er 3.25-3.38, 3 Ho 3.31-3.60
Ho3 0.1486 0.3682 0.3682  1 Er 3.08, 2 Ho 3.27
Ho4 0.3682 0.1486 0.3682  1 Er 3.08, 2 Ho 3.27
Ho5 0.3682 0.3682 0.1486  1 Er 3.08, 2 Ho 3.27
Ho6 0.5000 0.1109 0.8891  4 Er 3.25-3.38, 3 Ho 3.31-3.60
Ho7 0.5000 0.8891 0.1109  4 Er 3.25-3.38, 3 Ho 3.31-3.60
Ho8 0.6318 0.6318 0.8514  1 Er 3.08, 2 Ho 3.27
Ho9 0.6318 0.8514 0.6318  1 Er 3.08, 2 Ho 3.27
Ho10 0.8514 0.6318 0.6318  1 Er 3.08, 2 Ho 3.27
Ho11 0.8891 0.1109 0.5000  4 Er 3.25-3.38, 3 Ho 3.31-3.60
Ho12 0.8891 0.5000 0.1109  4 Er 3.25-3.38, 3 Ho 3.31-3.60
Er1 0.2663 0.6885 0.6885  5 Ho 3.08-3.38
Er2 0.3115 0.3115 0.7337  5 Ho 3.08-3.38
Er3 0.3115 0.7337 0.3115  5 Ho 3.08-3.38
Er4 0.6885 0.2663 0.6885  5 Ho 3.08-3.38
Er5 0.6885 0.6885 0.2663  5 Ho 3.08-3.38
Er6 0.7337 0.3115 0.3115  5 Ho 3.08-3.38

Results
density of states at the Fermi level = 24.6 states/eV per cell
total magnetization = 0.0 μB per cell
distance to the lowest polymorph of the same formula = 278 meV/atom

=====

4.
Compound: CrCd3H
Source: the Alexandria database
Functional: PBE-GGA
Structure: optimized geometry

Cell: 4.4202 4.4202 4.4202 Å, 90.00 90.00 90.00°
Last column: nearest neighbours and their distance in Å.
Fractional coordinates of all 5 atoms:
Cr1 0.0000 0.0000 0.0000  12 Cd 3.13
Cd1 0.0000 0.5000 0.5000  2 H 2.21
Cd2 0.5000 0.0000 0.5000  2 H 2.21
Cd3 0.5000 0.5000 0.0000  2 H 2.21
H1 0.5000 0.5000 0.5000  6 Cd 2.21

Results
density of states at the Fermi level = 1.7 states/eV per cell
total magnetization = 4.1 μB per cell
distance to the lowest polymorph of the same formula = 0 meV/atom

=====

5.
Compound: NpB5Pt11
Source: the Alexandria database
Functional: PBE-GGA
Structure: optimized geometry

Cell: 6.6532 6.6532 5.8384 Å, 98.03 98.03 102.63°
Last column: nearest neighbours and their distance in Å.
Fractional coordinates of all 17 atoms:
Np1 0.0000 0.0000 0.0000  10 Pt 2.92-3.10, 4 B 3.02
B1 0.0030 0.3490 0.7192  6 Pt 2.20-2.33
B2 0.3490 0.0030 0.7192  6 Pt 2.20-2.33
B3 0.5000 0.5000 0.0000  6 Pt 2.14-2.17
B4 0.6510 0.9970 0.2808  6 Pt 2.20-2.33
B5 0.9970 0.6510 0.2808  6 Pt 2.20-2.33
Pt1 0.0000 0.0000 0.5000  4 B 2.48, 6 Pt 2.72-2.77
Pt2 0.1254 0.6712 0.6537  3 B 2.20-2.32
Pt3 0.1854 0.4589 0.0795  3 B 2.17-2.30
Pt4 0.3288 0.8746 0.3463  3 B 2.20-2.32
Pt5 0.3402 0.3402 0.6580  3 B 2.14-2.33
Pt6 0.4589 0.1854 0.0795  3 B 2.17-2.30
Pt7 0.5411 0.8146 0.9205  3 B 2.17-2.30
Pt8 0.6598 0.6598 0.3420  3 B 2.14-2.33
Pt9 0.6712 0.1254 0.6537  3 B 2.20-2.32
Pt10 0.8146 0.5411 0.9205  3 B 2.17-2.30
Pt11 0.8746 0.3288 0.3463  3 B 2.20-2.32

Results
DFT total energy = -116.58 eV per cell
density of states at the Fermi level = 13.9 states/eV per cell
total magnetization = 3.5 μB per cell

=====

6.
Compound: FeTeSe2
Source: the Alexandria database
Functional: PBE-GGA
Structure: optimized geometry

Cell: 2.9758 2.9758 9.5067 Å, 90.00 90.00 90.00°
Last column: nearest neighbours and their distance in Å.
Fractional coordinates of all 4 atoms:
Fe1 0.0000 0.0000 0.0000  4 Se 2.51
Te1 0.5000 0.5000 0.8018  4 Fe 2.82, 4 Te 2.98
Se1 0.0000 0.0000 0.4796  4 Se 2.98
Se2 0.5000 0.5000 0.1432  4 Fe 2.51

Results
density of states at the Fermi level = 3.3 states/eV per cell
raw formation energy = 239 meV per atom
total magnetization = 1.1 μB per cell

=====

7.
Compound: ZrHg2Os
Source: the Alexandria database
Functional: PBE-GGA
Structure: optimized geometry

Cell: 3.0066 3.0066 8.4902 Å, 90.00 90.00 90.00°
Last column: nearest neighbours and their distance in Å.
Fractional coordinates of all 4 atoms:
Zr1 0.0000 0.0000 0.0000  4 Zr 3.01, 8 Hg 3.10
Hg1 0.5000 0.5000 0.2659  4 Os 2.91, 4 Hg 3.01, 4 Zr 3.10
Hg2 0.5000 0.5000 0.7341  4 Os 2.91, 4 Hg 3.01, 4 Zr 3.10
Os1 0.0000 0.0000 0.5000  8 Hg 2.91, 4 Os 3.01

Results
density of states at the Fermi level = 3.7 states/eV per cell
total magnetization = 0.5 μB per cell
distance to the lowest polymorph of the same formula = 408 meV/atom

=====

8.
Compound: GaCo2As
Source: the Alexandria database
Functional: PBE-GGA
Structure: optimized geometry

Cell: 5.5041 5.5041 9.6355 Å, 90.00 90.00 90.00°
Last column: nearest neighbours and their distance in Å.
Fractional coordinates of all 16 atoms:
Ga1 0.0000 0.0000 0.0000  4 Co 2.34
Ga2 0.0000 0.5000 0.2500  4 Co 2.34
Ga3 0.5000 0.0000 0.7500  4 Co 2.34
Ga4 0.5000 0.5000 0.5000  4 Co 2.34
Co1 0.2334 0.2500 0.6250  2 As 2.23, 2 Ga 2.34
Co2 0.2500 0.7334 0.8750  2 As 2.23, 2 Ga 2.34
Co3 0.2500 0.7666 0.3750  2 As 2.23, 2 Ga 2.34
Co4 0.2666 0.2500 0.1250  2 As 2.23, 2 Ga 2.34
Co5 0.7334 0.7500 0.1250  2 As 2.23, 2 Ga 2.34
Co6 0.7500 0.2334 0.3750  2 As 2.23, 2 Ga 2.34
Co7 0.7500 0.2666 0.8750  2 As 2.23, 2 Ga 2.34
Co8 0.7666 0.7500 0.6250  2 As 2.23, 2 Ga 2.34
As1 0.0000 0.0000 0.5000  4 Co 2.23
As2 0.0000 0.5000 0.7500  4 Co 2.23
As3 0.5000 0.0000 0.2500  4 Co 2.23
As4 0.5000 0.5000 0.0000  4 Co 2.23

Results
density of states at the Fermi level = 13.4 states/eV per cell
total magnetization = 0.0 μB per cell
distance to the lowest polymorph of the same formula = 456 meV/atom

=====

9.
Compound: CaHg3
Source: the Alexandria database
Functional: PBE-GGA
Structure: optimized geometry

Cell: 4.6119 4.8720 9.0746 Å, 90.00 90.00 90.00°
Last column: nearest neighbours and their distance in Å.
Fractional coordinates of all 8 atoms:
Ca1 0.0000 0.0000 0.0000  12 Hg 3.25-3.35
Ca2 0.5000 0.5000 0.5000  12 Hg 3.25-3.35
Hg1 0.0000 0.0000 0.5000  8 Hg 3.22-3.35, 4 Ca 3.35
Hg2 0.0000 0.5000 0.2470  8 Hg 3.22-3.35, 4 Ca 3.25-3.31
Hg3 0.0000 0.5000 0.7530  8 Hg 3.22-3.35, 4 Ca 3.25-3.31
Hg4 0.5000 0.0000 0.2530  8 Hg 3.22-3.35, 4 Ca 3.25-3.31
Hg5 0.5000 0.0000 0.7470  8 Hg 3.22-3.35, 4 Ca 3.25-3.31
Hg6 0.5000 0.5000 0.0000  8 Hg 3.22-3.35, 4 Ca 3.35

Results
DFT total energy = -8.80 eV per cell
density of states at the Fermi level = 2.1 states/eV per cell
total magnetization = 0.0 μB per cell

=====

10.
Compound: RbLiSb2I
Source: the Alexandria database
Functional: PBE-GGA
Structure: optimized geometry

Cell: 6.4934 6.4934 6.7663 Å, 90.00 90.00 90.00°
Last column: nearest neighbours and their distance in Å.
Fractional coordinates of all 5 atoms:
Rb1 0.0000 0.0000 0.0000  4 Sb 3.25, 2 I 3.38
Li1 0.5000 0.5000 0.5000  4 I 4.59, 8 Sb 4.69
Sb1 0.0000 0.5000 0.0000  2 Rb 3.25
Sb2 0.5000 0.0000 0.0000  2 Rb 3.25
I1 0.0000 0.0000 0.5000  2 Rb 3.38

Results
density of states at the Fermi level = 3.6 states/eV per cell
raw formation energy = 664 meV per atom
total magnetization = 2.9 μB per cell
distance to the lowest polymorph of the same formula = 860 meV/atom

=====

11.
Compound: AgHF2
Source: the Alexandria database
Functional: PBE-GGA
Structure: optimized geometry

Cell: 3.6111 3.6111 15.0772 Å, 90.00 90.00 120.00°
Last column: nearest neighbours and their distance in Å.
Fractional coordinates of all 12 atoms:
Ag1 0.0000 0.0000 0.0000  6 F 2.49
Ag2 0.3333 0.6667 0.6667  6 F 2.49
Ag3 0.6667 0.3333 0.3333  6 F 2.49
H1 0.0000 0.0000 0.5000  2 F 1.15
H2 0.3333 0.6667 0.1667  2 F 1.15
H3 0.6667 0.3333 0.8333  2 F 1.15
F1 0.0000 0.0000 0.4238  1 H 1.15
F2 0.0000 0.0000 0.5762  1 H 1.15
F3 0.3333 0.6667 0.0905  1 H 1.15
F4 0.3333 0.6667 0.2428  1 H 1.15
F5 0.6667 0.3333 0.7572  1 H 1.15
F6 0.6667 0.3333 0.9095  1 H 1.15

Results
density of states at the Fermi level = 0.0 states/eV per cell
total magnetization = 0.0 μB per cell
distance to the lowest polymorph of the same formula = 7 meV/atom

=====

12.
Compound: TmZrNpO6
Source: the Alexandria database
Functional: PBE-GGA
Structure: optimized geometry

Cell: 5.6041 5.6041 9.1820 Å, 90.00 90.00 120.00°
Last column: nearest neighbours and their distance in Å.
Fractional coordinates of all 18 atoms:
Tm1 0.3333 0.6667 0.2500  6 O 2.25
Tm2 0.6667 0.3333 0.7500  6 O 2.25
Zr1 0.0000 0.0000 0.0000  6 O 2.17
Zr2 0.0000 0.0000 0.5000  6 O 2.17
Np1 0.3333 0.6667 0.7500  6 O 2.15
Np2 0.6667 0.3333 0.2500  6 O 2.15
O1 0.0131 0.3310 0.8718  1 Np 2.15, 1 Zr 2.17, 1 Tm 2.25
O2 0.0131 0.6822 0.6282  1 Np 2.15, 1 Zr 2.17, 1 Tm 2.25
O3 0.3178 0.3310 0.6282  1 Np 2.15, 1 Zr 2.17, 1 Tm 2.25
O4 0.3178 0.9869 0.8718  1 Np 2.15, 1 Zr 2.17, 1 Tm 2.25
O5 0.3310 0.0131 0.3718  1 Np 2.15, 1 Zr 2.17, 1 Tm 2.25
O6 0.3310 0.3178 0.1282  1 Np 2.15, 1 Zr 2.17, 1 Tm 2.25
O7 0.6690 0.6822 0.8718  1 Np 2.15, 1 Zr 2.17, 1 Tm 2.25
O8 0.6690 0.9869 0.6282  1 Np 2.15, 1 Zr 2.17, 1 Tm 2.25
O9 0.6822 0.0131 0.1282  1 Np 2.15, 1 Zr 2.17, 1 Tm 2.25
O10 0.6822 0.6690 0.3718  1 Np 2.15, 1 Zr 2.17, 1 Tm 2.25
O11 0.9869 0.3178 0.3718  1 Np 2.15, 1 Zr 2.17, 1 Tm 2.25
O12 0.9869 0.6690 0.1282  1 Np 2.15, 1 Zr 2.17, 1 Tm 2.25

Results
density of states at the Fermi level = 14.2 states/eV per cell
raw formation energy = -3125 meV per atom
total magnetization = 4.0 μB per cell

=====

> What is the formula in the twelfth record?

TmZrNpO6

=====

> What is the total magnetization in the second record?

0.0 μB per cell